[1]
AcCdGa2: optimized geometry, PBE.

The structure in extended XYZ format:
```
4
Lattice="0.0000 3.6990 3.6990 3.6990 0.0000 3.6990 3.6990 3.6990 0.0000" Properties=species:S:1:pos:R:3 pbc="T T T"
Ac 0.0000 0.0000 0.0000
Cd 3.6990 3.6990 3.6990
Ga 1.8495 1.8495 1.8495
Ga 5.5486 5.5486 5.5486
```

Properties
Its space group is No. 225. For the formation energy, the calculation gives -28.18 kJ per mole of atoms. The value obtained for the excess energy over the best structure of this formula in the dataset is 0.204 eV/atom.

[2]
Ba5Sr6: optimized geometry, PBE.

The structure in extended XYZ format:
```
11
Lattice="6.3831 -8.8753 0.0000 6.3831 8.8753 0.0000 -3.7759 0.0000 5.8285" Properties=species:S:1:pos:R:3 pbc="T T T"
Ba 0.0000 0.0000 0.0000
Ba 4.4952 6.2564 2.9142
Ba 6.3831 3.7816 0.0000
Ba 6.3831 -3.7816 0.0000
Ba 4.4952 -6.2564 2.9142
Sr 2.7591 2.4022 1.7829
Sr 0.8852 0.0000 4.7022
Sr 2.7591 -2.4022 1.7829
Sr 6.2313 2.4022 4.0456
Sr 8.1052 0.0000 1.1263
Sr 6.2313 -2.4022 4.0456
```

Properties
Its space group is No. 12. For the formation energy, the calculation gives 7.34 kJ per mole of atoms.

[3]
OsIBr: optimized geometry, PBE.

The structure in extended XYZ format:
```
6
Lattice="3.6181 0.0000 0.0000 1.8074 7.2966 0.0000 0.0104 3.0289 6.9931" Properties=species:S:1:pos:R:3 pbc="T T T"
Os 0.9098 3.2503 3.3688
Os 4.5262 7.0753 3.6243
I 2.7171 8.4185 4.9284
I 2.7188 1.9071 2.0647
Br 0.9075 5.0092 5.1409
Br 4.5285 5.3164 1.8523
```

Properties
Its space group is No. 2. As for the formation energy without anion corrections: 0.51 eV per atom.

[4]
Hf6Cu5Ir: optimized geometry, PBE.

The structure in extended XYZ format:
```
12
Lattice="-2.2806 3.2869 6.8429 2.2806 -3.2869 6.8429 2.2806 3.2869 -6.8429" Properties=species:S:1:pos:R:3 pbc="T T T"
Hf 2.2806 1.6357 -2.2725
Hf 0.0000 1.6342 0.0000
Hf 2.2806 1.6357 2.2725
Hf 0.0000 1.6512 4.5704
Hf 0.0000 4.9396 0.0000
Hf 0.0000 1.6512 9.1154
Cu 0.0000 0.0000 2.3643
Cu 2.2806 0.0000 4.5895
Cu 0.0000 0.0000 6.8429
Cu 0.0000 3.2869 2.2533
Cu 0.0000 0.0000 11.3215
Ir 2.2806 0.0000 0.0000
```

Properties
Its space group is No. 71. For the formation energy, the calculation gives -27.08 kJ per mole of atoms.

[5]
PmNdY5Tm2: optimized geometry, PBE.

The structure in extended XYZ format:
```
18
Lattice="2.8242 -10.0845 0.0000 2.8242 10.0845 0.0000 0.0000 0.0000 10.4773" Properties=species:S:1:pos:R:3 pbc="T T T"
Pm 2.8242 8.3633 5.2387
Pm 2.8242 -8.3633 0.0000
Nd 2.8242 3.9756 0.7437
Nd 2.8242 -3.9756 5.9824
Y 2.8242 9.6169 8.2936
Y 2.8242 7.8426 0.8520
Y 2.8242 6.0460 7.9892
Y 2.8242 5.6080 3.9092
Y 2.8242 0.3248 0.8270
Y 2.8242 -0.3248 6.0656
Y 2.8242 -5.6080 9.1479
Y 2.8242 -6.0460 2.7505
Y 2.8242 -7.8426 6.0906
Y 2.8242 -9.6169 3.0550
Tm 2.8242 2.2762 3.9437
Tm 2.8242 2.2524 8.2725
Tm 2.8242 -2.2524 3.0338
Tm 2.8242 -2.2762 9.1823
```

Properties
Its space group is No. 36. For the formation energy, the calculation gives 15.46 kJ per mole of atoms.

[6]
PmPaGa2O8: optimized geometry, PBE.

The structure in extended XYZ format:
```
12
Lattice="-3.5458 3.5458 3.3927 3.5458 -3.5458 3.3927 3.5458 3.5458 -3.3927" Properties=species:S:1:pos:R:3 pbc="T T T"
Pm 0.0000 0.0000 0.0000
Pa 3.5458 0.0000 1.6964
Ga 0.0000 0.0000 3.3927
Ga 0.0000 3.5458 1.6964
O 2.1714 3.5458 -1.2610
O 1.3745 0.0000 2.1317
O 0.0000 2.2905 0.3488
O 3.5458 2.1714 1.2610
O 0.0000 4.8012 0.3488
O 0.0000 1.3745 4.6537
O -1.2553 3.5458 3.0439
O 1.2553 3.5458 3.0439
```

Properties
Its space group is No. 119. As for the formation energy without anion corrections: -2.34 eV per atom.